# NdThB4

NdThB4 after structural relaxation (PBE, OQMD via LeMat-Bulk).

Results
Offset from the most stable computed form (meV per atom): 0.0
DFT total energy (eV per atom): -6.87
Crystal system: hexagonal
Magnetic moment (μB/atom): 0.001

a = 3.339 Å, b = 3.339 Å, c = 8.306 Å
α = 90.00°, β = 90.00°, γ = 120.00°
Element x y z (fractional)
B 0.667 0.333 0.250
B 0.333 0.667 0.250
B 0.667 0.333 0.750
B 0.333 0.667 0.750
Nd 0.000 0.000 0.000
Th 0.000 0.000 0.500

# NdB4W

NdB4W after structural relaxation (PBE, OQMD via LeMat-Bulk).

Results
Offset from the most stable computed form (meV per atom): 0.0
DFT total energy (eV per atom): -7.75
Crystal system: hexagonal
Magnetic moment (μB/atom): 0.000

a = 3.133 Å, b = 3.133 Å, c = 7.494 Å
α = 90.00°, β = 90.00°, γ = 120.00°
Element x y z (fractional)
B 0.667 0.333 0.215
B 0.333 0.667 0.215
B 0.667 0.333 0.785
B 0.333 0.667 0.785
Nd 0.000 0.000 0.500
W 0.000 0.000 0.000

# NdB4W

NdB4W after structural relaxation (PBE, OQMD via LeMat-Bulk).

Results
Offset from the most stable computed form (meV per atom): 200.0
DFT total energy (eV per atom): -7.55
Crystal system: orthorhombic
Magnetic moment (μB/atom): 0.000

a = 4.857 Å, b = 4.857 Å, c = 4.857 Å
α = 141.62°, β = 110.50°, γ = 82.30°
Element x y z (fractional)
B 0.583 0.244 0.339
B 0.095 0.756 0.339
B 0.905 0.244 0.661
B 0.417 0.756 0.661
Nd 0.000 0.000 0.000
W 0.500 0.500 0.000

# NdBW

NdBW after structural relaxation (PBE, OQMD via LeMat-Bulk).

Results
DFT total energy (eV per atom): -7.33
Crystal system: cubic
Magnetic moment (μB/atom): 0.023

a = 4.252 Å, b = 4.252 Å, c = 4.252 Å
α = 60.00°, β = 60.00°, γ = 60.00°
Element x y z (fractional)
B 0.000 0.000 0.000
Nd 0.250 0.250 0.250
W 0.750 0.750 0.750

# NdZnB

NdZnB after structural relaxation (PBE, OQMD via LeMat-Bulk).

Results
Offset from the most stable computed form (meV per atom): 0.0
DFT total energy (eV per atom): -4.28
Crystal system: cubic
Magnetic moment (μB/atom): 0.000

a = 4.308 Å, b = 4.308 Å, c = 4.308 Å
α = 60.00°, β = 60.00°, γ = 60.00°
Element x y z (fractional)
B 0.000 0.000 0.000
Nd 0.250 0.250 0.250
Zn 0.750 0.750 0.750

# NdZnB

NdZnB after structural relaxation (PBE, OQMD via LeMat-Bulk).

Results
Offset from the most stable computed form (meV per atom): 494.3
DFT total energy (eV per atom): -3.78
Crystal system: cubic
Magnetic moment (μB/atom): 0.000

a = 4.352 Å, b = 4.352 Å, c = 4.352 Å
α = 60.00°, β = 60.00°, γ = 60.00°
Element x y z (fractional)
B 0.250 0.250 0.250
Nd 0.750 0.750 0.750
Zn 0.000 0.000 0.000

Repeat the fifth record exactly.
# NdZnB

NdZnB after structural relaxation (PBE, OQMD via LeMat-Bulk).

Results
Offset from the most stable computed form (meV per atom): 0.0
DFT total energy (eV per atom): -4.28
Crystal system: cubic
Magnetic moment (μB/atom): 0.000

a = 4.308 Å, b = 4.308 Å, c = 4.308 Å
α = 60.00°, β = 60.00°, γ = 60.00°
Element x y z (fractional)
B 0.000 0.000 0.000
Nd 0.250 0.250 0.250
Zn 0.750 0.750 0.750